The following is a DFT calculation (PBE) of a relaxed NdTm4Ga4 crystal.

a = 9.1665 Å, b = 9.1665 Å, c = 5.8161 Å
α = 90.00°, β = 90.00°, γ = 90.00°
Closest atoms and distances in Å follow each position.
Sites, in units of the cell vectors:
1 Nd 0.2500 0.2500 0.2500  4 Ga 2.96
2 Nd 0.7500 0.7500 0.7500  4 Ga 2.96
3 Tm 0.0803 0.6537 0.1309  5 Ga 2.90-3.05
4 Tm 0.1537 0.9197 0.6309  5 Ga 2.90-3.05
5 Tm 0.3463 0.5803 0.6309  5 Ga 2.90-3.05
6 Tm 0.4197 0.8463 0.1309  5 Ga 2.90-3.05
7 Tm 0.5803 0.1537 0.8691  5 Ga 2.90-3.05
8 Tm 0.6537 0.4197 0.3691  5 Ga 2.90-3.05
9 Tm 0.8463 0.0803 0.3691  5 Ga 2.90-3.05
10 Tm 0.9197 0.3463 0.8691  5 Ga 2.90-3.05
11 Ga 0.0313 0.6104 0.6278  1 Ga 2.58
12 Ga 0.1104 0.9687 0.1278  1 Ga 2.58
13 Ga 0.3896 0.5313 0.1278  1 Ga 2.58
14 Ga 0.4687 0.8896 0.6278  1 Ga 2.58
15 Ga 0.5313 0.1104 0.3722  1 Ga 2.58
16 Ga 0.6104 0.4687 0.8722  1 Ga 2.58
17 Ga 0.8896 0.0313 0.8722  1 Ga 2.58
18 Ga 0.9687 0.3896 0.3722  1 Ga 2.58

Values from the calculation:
ρ in Mg/m³: 7.47
Formation energy from the elements in eV/atom: -0.342
Fermi-level density of states in states/eV per cell: 13.5
DFT total energy in eV/f.u.: -37.84



The following is a DFT calculation (PBE) of a relaxed Nd2TmGa crystal.

a = 3.5473 Å, b = 3.5473 Å, c = 34.5025 Å
α = 90.00°, β = 90.00°, γ = 120.00°
Closest atoms and distances in Å follow each position.
Sites, in units of the cell vectors:
1 Nd 0.0000 0.0000 0.1004  3 Ga 3.07
2 Nd 0.0000 0.0000 0.8996  3 Ga 3.07
3 Nd 0.3333 0.6667 0.5663  3 Ga 3.07
4 Nd 0.3333 0.6667 0.7670  3 Ga 3.07
5 Nd 0.6667 0.3333 0.2330  3 Ga 3.07
6 Nd 0.6667 0.3333 0.4337  3 Ga 3.07
7 Tm 0.0000 0.0000 0.0000  2 Nd 3.46, 6 Tm 3.55
8 Tm 0.3333 0.6667 0.6667  2 Nd 3.46, 6 Tm 3.55
9 Tm 0.6667 0.3333 0.3333  2 Nd 3.46, 6 Tm 3.55
10 Ga 0.0000 0.0000 0.5000  6 Nd 3.07
11 Ga 0.3333 0.6667 0.1667  6 Nd 3.07
12 Ga 0.6667 0.3333 0.8333  6 Nd 3.07

Values from the calculation:
ρ in Mg/m³: 6.98
Energy above the lowest structure with this stoichiometry in meV per atom: 296
Formation energy from the elements in eV/atom: 0.039
Fermi-level density of states in states/eV per cell: 17.5
DFT total energy in eV/f.u.: -16.88



The following is a DFT calculation (PBE) of a relaxed Nd2TmGa crystal.

a = 4.7886 Å, b = 4.7886 Å, c = 4.8406 Å
α = 90.00°, β = 90.00°, γ = 90.00°
Closest atoms and distances in Å follow each position.
Sites, in units of the cell vectors:
1 Nd 0.0000 0.5000 0.0000  4 Nd 3.39, 4 Tm 3.40, 4 Ga 3.40
2 Nd 0.5000 0.0000 0.0000  4 Nd 3.39, 4 Tm 3.40, 4 Ga 3.40
3 Tm 0.0000 0.0000 0.5000  4 Ga 3.39, 8 Nd 3.40
4 Ga 0.5000 0.5000 0.5000  4 Tm 3.39, 8 Nd 3.40

Values from the calculation:
ρ in Mg/m³: 7.89
Energy above the lowest structure with this stoichiometry in meV per atom: 29
Formation energy from the elements in eV/atom: -0.228
Fermi-level density of states in states/eV per cell: 5.3
DFT total energy in eV/f.u.: -17.95



The following is a DFT calculation (PBE) of a relaxed Nd2Tm2Ga3 crystal.

a = 3.6967 Å, b = 5.9553 Å, c = 8.1874 Å
α = 88.17°, β = 89.96°, γ = 72.44°
Closest atoms and distances in Å follow each position.
Sites, in units of the cell vectors:
1 Nd 0.2082 0.0867 0.1653  5 Ga 3.09-3.34, 3 Tm 3.25-3.42, 2 Nd 3.45
2 Nd 0.7918 0.9133 0.8347  5 Ga 3.09-3.34, 3 Tm 3.25-3.42, 2 Nd 3.45
3 Tm 0.0635 0.3846 0.6947  4 Ga 2.96-3.21, 1 Nd 3.25
4 Tm 0.9365 0.6154 0.3053  4 Ga 2.96-3.21, 1 Nd 3.25
5 Ga 0.3317 0.8331 0.5390  2 Ga 2.71, 2 Tm 2.96
6 Ga 0.5000 0.5000 0.0000  4 Tm 3.18-3.21, 4 Nd 3.23-3.26
7 Ga 0.6683 0.1669 0.4610  2 Ga 2.71, 2 Tm 2.96

Values from the calculation:
ρ in Mg/m³: 8.08
Formation energy from the elements in eV/atom: -0.411
Fermi-level density of states in states/eV per cell: 4.8
DFT total energy in eV/f.u.: -30.44



The following is a DFT calculation (PBE) of a relaxed NdTm2Ga crystal.

a = 3.5100 Å, b = 3.5100 Å, c = 8.8982 Å
α = 90.00°, β = 90.00°, γ = 90.00°
Closest atoms and distances in Å follow each position.
Sites, in units of the cell vectors:
1 Nd 0.0000 0.0000 0.0000  4 Nd 3.51, 8 Tm 3.62
2 Tm 0.5000 0.5000 0.2959  4 Ga 3.08
3 Tm 0.5000 0.5000 0.7041  4 Ga 3.08
4 Ga 0.0000 0.0000 0.5000  8 Tm 3.08

Values from the calculation:
ρ in Mg/m³: 8.36
Energy above the lowest structure with this stoichiometry in meV per atom: 0
Formation energy from the elements in eV/atom: -0.292
Fermi-level density of states in states/eV per cell: 3.4
DFT total energy in eV/f.u.: -17.91



The following is a DFT calculation (PBE) of a relaxed NdTmGa crystal.

a = 5.0025 Å, b = 5.0025 Å, c = 3.7475 Å
α = 90.00°, β = 90.00°, γ = 120.00°
Closest atoms and distances in Å follow each position.
Sites, in units of the cell vectors:
1 Nd 0.0000 0.0000 0.0000  3 Ga 3.22, 6 Tm 3.38-3.51
2 Tm 0.3333 0.6667 0.4686  3 Ga 2.94
3 Ga 0.6667 0.3333 0.6212  3 Tm 2.94, 3 Nd 3.22

Values from the calculation:
ρ in Mg/m³: 7.83
Energy above the lowest structure with this stoichiometry in meV per atom: 131
Formation energy from the elements in eV/atom: -0.275
Fermi-level density of states in states/eV per cell: 1.4
DFT total energy in eV/f.u.: -13.09



The following is a DFT calculation (PBE) of a relaxed Nd2TmGa crystal.

a = 7.6590 Å, b = 7.6590 Å, c = 7.6590 Å
α = 90.00°, β = 90.00°, γ = 90.00°
Closest atoms and distances in Å follow each position.
Sites, in units of the cell vectors:
1 Nd 0.2500 0.2500 0.2500  4 Tm 3.32, 4 Ga 3.32
2 Nd 0.2500 0.2500 0.7500  4 Tm 3.32, 4 Ga 3.32
3 Nd 0.2500 0.7500 0.2500  4 Tm 3.32, 4 Ga 3.32
4 Nd 0.2500 0.7500 0.7500  4 Tm 3.32, 4 Ga 3.32
5 Nd 0.7500 0.2500 0.2500  4 Tm 3.32, 4 Ga 3.32
6 Nd 0.7500 0.2500 0.7500  4 Tm 3.32, 4 Ga 3.32
7 Nd 0.7500 0.7500 0.2500  4 Tm 3.32, 4 Ga 3.32
8 Nd 0.7500 0.7500 0.7500  4 Ga 3.32, 4 Tm 3.32
9 Tm 0.0000 0.0000 0.0000  8 Nd 3.32
10 Tm 0.0000 0.5000 0.5000  8 Nd 3.32
11 Tm 0.5000 0.0000 0.5000  8 Nd 3.32
12 Tm 0.5000 0.5000 0.0000  8 Nd 3.32
13 Ga 0.0000 0.0000 0.5000  8 Nd 3.32
14 Ga 0.0000 0.5000 0.0000  8 Nd 3.32
15 Ga 0.5000 0.0000 0.0000  8 Nd 3.32
16 Ga 0.5000 0.5000 0.5000  8 Nd 3.32

Values from the calculation:
ρ in Mg/m³: 7.79
Energy above the lowest structure with this stoichiometry in meV per atom: 147
Formation energy from the elements in eV/atom: -0.111
Fermi-level density of states in states/eV per cell: 27.4
DFT total energy in eV/f.u.: -17.48



The following is a DFT calculation (PBE) of a relaxed NdTm2Ga crystal.

a = 4.9743 Å, b = 4.9743 Å, c = 15.7936 Å
α = 90.00°, β = 90.00°, γ = 120.00°
Closest atoms and distances in Å follow each position.
Sites, in units of the cell vectors:
1 Nd 0.0000 0.0000 0.0000  8 Tm 3.35-3.55
2 Nd 0.3333 0.6667 0.6667  8 Tm 3.35-3.55
3 Nd 0.6667 0.3333 0.3333  8 Tm 3.35-3.55
4 Tm 0.0000 0.0000 0.2246  3 Ga 3.01, 3 Nd 3.35
5 Tm 0.0000 0.0000 0.7754  3 Ga 3.01, 3 Nd 3.35
6 Tm 0.3333 0.6667 0.4421  3 Ga 3.01, 3 Nd 3.35
7 Tm 0.3333 0.6667 0.8912  3 Ga 3.01, 3 Nd 3.35
8 Tm 0.6667 0.3333 0.1088  3 Ga 3.01, 3 Nd 3.35
9 Tm 0.6667 0.3333 0.5579  3 Ga 3.01, 3 Nd 3.35
10 Ga 0.0000 0.0000 0.5000  6 Tm 3.01
11 Ga 0.3333 0.6667 0.1667  6 Tm 3.01
12 Ga 0.6667 0.3333 0.8333  6 Tm 3.01

Values from the calculation:
ρ in Mg/m³: 8.12
Energy above the lowest structure with this stoichiometry in meV per atom: 274
Formation energy from the elements in eV/atom: -0.019
Fermi-level density of states in states/eV per cell: 13.9
DFT total energy in eV/f.u.: -16.81